(1)
First-principles (PBE) data for a relaxed structure of PbSe2Br, as listed in Alexandria.

```
PbSe2Br
1.0
2.991 -4.351 0.000
2.991 4.351 0.000
-2.550 0.000 4.366
Pb Se Br
1 2 1
Direct
0.000 0.000 0.000
0.000 0.500 0.500
0.500 0.000 0.500
0.500 0.500 0.000
```

Final energy = -3.158 eV per atom
Uncorrected formation energy = -70 meV/atom

=====

(2)
First-principles (PBE) data for a relaxed structure of Si3RhI, as listed in Alexandria.

```
Si3RhI
1.0
4.728 0.000 0.000
0.000 4.728 0.000
0.000 0.000 4.728
Si Rh I
3 1 1
Direct
0.000 0.000 0.500
0.000 0.500 0.000
0.500 0.000 0.000
0.000 0.000 0.000
0.500 0.500 0.500
```

Final energy = -4.743 eV per atom
Uncorrected formation energy = 292 meV/atom

=====

(3)
First-principles (PBE) data for a relaxed structure of BaSr2CaRu, as listed in Alexandria.

```
BaSr2CaRu
1.0
5.953 0.000 0.000
0.000 5.953 0.000
0.000 0.000 5.739
Ba Sr Ca Ru
1 2 1 1
Direct
0.000 0.000 0.000
0.000 0.500 0.500
0.500 0.000 0.500
0.500 0.500 0.000
0.500 0.500 0.500
```

Final energy = -3.122 eV per atom
ΔH_f (0 K) = 0.190 eV/atom

=====

(4)
First-principles (PBE) data for a relaxed structure of Cs3CaSe, as listed in Alexandria.

```
Cs3CaSe
1.0
7.095 0.000 0.000
0.000 7.095 0.000
0.000 0.000 7.095
Cs Ca Se
3 1 1
Direct
0.000 0.000 0.500
0.000 0.500 0.000
0.500 0.000 0.000
0.500 0.500 0.500
0.000 0.000 0.000
```

Final energy = -1.961 eV per atom
Uncorrected formation energy = -352 meV/atom

=====

(5)
First-principles (PBE) data for a relaxed structure of CaRhPb, as listed in Alexandria.

```
CaRhPb
1.0
4.777 0.000 0.000
-2.388 4.137 0.000
0.000 0.000 3.530
Ca Rh Pb
1 1 1
Direct
0.000 0.000 0.000
0.333 0.667 0.500
0.667 0.333 0.500
```

Final energy = -4.690 eV per atom
ΔH_f (0 K) = -0.336 eV/atom

=====

(6)
First-principles (PBE) data for a relaxed structure of DyHo2Tm6, as listed in Alexandria.

```
DyHo2Tm6
1.0
6.300 -6.981 0.000
6.300 6.981 0.000
-1.515 0.000 6.260
Dy Ho Tm
2 4 12
Direct
0.120 0.880 0.750
0.880 0.120 0.250
0.335 0.383 0.630
0.383 0.335 0.130
0.617 0.665 0.870
0.665 0.617 0.370
0.047 0.222 0.815
0.061 0.461 0.271
0.222 0.047 0.315
0.278 0.649 0.998
0.351 0.722 0.502
0.461 0.061 0.771
0.539 0.939 0.229
0.649 0.278 0.498
0.722 0.351 0.002
0.778 0.953 0.685
0.939 0.539 0.729
0.953 0.778 0.185
```

Final energy = -4.403 eV per atom
ΔH_f (0 K) = 0.106 eV/atom

=====

(7)
First-principles (PBE) data for a relaxed structure of SrPt2Br, as listed in Alexandria.

```
SrPt2Br
1.0
3.935 -2.044 0.000
3.935 2.044 0.000
-2.246 0.000 7.481
Sr Pt Br
1 2 1
Direct
0.000 0.000 0.000
0.437 0.437 0.303
0.748 0.748 0.299
0.251 0.251 0.766
```

Final energy = -4.518 eV per atom
Uncorrected formation energy = -659 meV/atom

=====

(8)
First-principles (PBE) data for a relaxed structure of Cr2MoOs2, as listed in Alexandria.

```
Cr2MoOs2
1.0
7.098 0.000 0.000
0.000 7.098 0.000
0.000 0.000 2.764
Cr Mo Os
4 2 4
Direct
0.131 0.369 0.000
0.369 0.869 0.000
0.631 0.131 0.000
0.869 0.631 0.000
0.000 0.000 0.000
0.500 0.500 0.000
0.167 0.667 0.500
0.333 0.167 0.500
0.667 0.833 0.500
0.833 0.333 0.500
```

Final energy = -10.322 eV per atom
ΔH_f (0 K) = 0.186 eV/atom